VASP calculation (PBE) on an optimized crystal structure of KU2MnS4.

Structure (CIF):
```
data_KU2MnS4
_chemical_formula_sum 'K4 U8 Mn4 S16'
_cell_length_a 3.850
_cell_length_b 13.641
_cell_length_c 13.556
_cell_angle_alpha 90.00
_cell_angle_beta 90.00
_cell_angle_gamma 90.00
_space_group_name_H-M_alt 'C m c m'
_space_group_IT_number 63
_space_group_name_Hall '-C 2c 2'
loop_
_atom_site_label
_atom_site_type_symbol
_atom_site_fract_x
_atom_site_fract_y
_atom_site_fract_z
K1 K 0.000 0.100 0.250
U1 U 0.000 0.366 0.059
Mn1 Mn 0.000 0.173 0.750
S1 S 0.000 0.000 0.000
S2 S 0.000 0.266 0.612
S3 S 0.000 0.422 0.250
```

crystal system	orthorhombic
formation energy from raw total energies	-1.169	eV per atom

VASP calculation (PBE) on an optimized crystal structure of TbZr2UAs4.

Structure (CIF):
```
data_TbZr2UAs4
_chemical_formula_sum 'Tb1 Zr2 U1 As4'
_cell_length_a 6.900
_cell_length_b 3.964
_cell_length_c 6.902
_cell_angle_alpha 90.00
_cell_angle_beta 109.15
_cell_angle_gamma 90.00
_space_group_name_H-M_alt 'P 1 2/m 1'
_space_group_IT_number 10
loop_
_space_group_symop_operation_xyz
'x,y,z'
'-x,-y,-z'
'-x,y,-z'
'x,-y,z'
loop_
_atom_site_label
_atom_site_type_symbol
_atom_site_fract_x
_atom_site_fract_y
_atom_site_fract_z
Tb1 Tb 0.000 0.000 0.000
Zr1 Zr 0.000 0.500 0.500
Zr2 Zr 0.500 0.000 0.500
U1 U 0.500 0.500 0.000
As1 As 0.247 0.000 0.738
As2 As 0.257 0.500 0.262
```

energy of formation from the pure elements	-880	kJ/mol of formula units
crystal system	monoclinic

VASP calculation (PBE) on an optimized crystal structure of BIrPd2.

Structure (CIF):
```
data_BIrPd2
_chemical_formula_sum 'B4 Ir4 Pd8'
_cell_length_a 4.782
_cell_length_b 4.782
_cell_length_c 11.909
_cell_angle_alpha 90.00
_cell_angle_beta 90.00
_cell_angle_gamma 90.00
_space_group_name_H-M_alt 'I -4 2 d'
_space_group_IT_number 122
_space_group_name_Hall 'I -4 2bw'
loop_
_atom_site_label
_atom_site_type_symbol
_atom_site_fract_x
_atom_site_fract_y
_atom_site_fract_z
B1 B 0.000 0.000 0.000
Ir1 Ir 0.000 0.000 0.500
Pd1 Pd 0.160 0.250 0.125
```

energy of formation from the pure elements	343	kJ/mol of formula units
crystal system	tetragonal

VASP calculation (PBE) on an optimized crystal structure of La3NdSm2Er6.

Structure (CIF):
```
data_La3NdSm2Er6
_chemical_formula_sum 'La6 Nd2 Sm4 Er12'
_cell_length_a 6.262
_cell_length_b 10.843
_cell_length_c 11.793
_cell_angle_alpha 90.00
_cell_angle_beta 100.17
_cell_angle_gamma 90.00
_space_group_name_H-M_alt 'C 1 2/m 1'
_space_group_IT_number 12
loop_
_space_group_symop_operation_xyz
'x,y,z'
'-x,-y,-z'
'-x,y,-z'
'x,-y,z'
'x+1/2,y+1/2,z'
'-x+1/2,-y+1/2,-z'
'-x+1/2,y+1/2,-z'
'x+1/2,-y+1/2,z'
loop_
_atom_site_label
_atom_site_type_symbol
_atom_site_fract_x
_atom_site_fract_y
_atom_site_fract_z
La1 La 0.000 0.000 0.000
La2 La 0.000 0.333 0.000
Nd1 Nd 0.000 0.500 0.500
Sm1 Sm 0.000 0.167 0.500
Er1 Er 0.249 0.000 0.747
Er2 Er 0.249 0.333 0.747
```

energy of formation from the pure elements	19	kJ/mol of formula units
crystal system	monoclinic

VASP calculation (PBE) on an optimized crystal structure of PuZn3Ga9.

Structure (CIF):
```
data_PuZn3Ga9
_chemical_formula_sum 'Pu2 Zn6 Ga18'
_cell_length_a 5.738
_cell_length_b 13.010
_cell_length_c 6.736
_cell_angle_alpha 90.00
_cell_angle_beta 108.95
_cell_angle_gamma 90.00
_space_group_name_H-M_alt 'C 1 2/m 1'
_space_group_IT_number 12
loop_
_space_group_symop_operation_xyz
'x,y,z'
'-x,-y,-z'
'-x,y,-z'
'x,-y,z'
'x+1/2,y+1/2,z'
'-x+1/2,-y+1/2,-z'
'-x+1/2,y+1/2,-z'
'x+1/2,-y+1/2,z'
loop_
_atom_site_label
_atom_site_type_symbol
_atom_site_fract_x
_atom_site_fract_y
_atom_site_fract_z
Pu1 Pu 0.000 0.000 0.000
Zn1 Zn 0.000 0.500 0.500
Zn2 Zn 0.250 0.250 0.000
Ga1 Ga 0.000 0.000 0.500
Ga2 Ga 0.106 0.394 0.210
Ga3 Ga 0.178 0.177 0.353
```

energy of formation from the pure elements	-76	kJ/mol of formula units
crystal system	monoclinic

VASP calculation (PBE) on an optimized crystal structure of YSbH.

Structure (CIF):
```
data_YSbH
_chemical_formula_sum 'Y2 Sb2 H2'
_cell_length_a 4.384
_cell_length_b 4.384
_cell_length_c 7.320
_cell_angle_alpha 90.00
_cell_angle_beta 90.00
_cell_angle_gamma 90.00
_space_group_name_H-M_alt 'I 4 m m'
_space_group_IT_number 107
_space_group_name_Hall 'I 4 -2'
loop_
_atom_site_label
_atom_site_type_symbol
_atom_site_fract_x
_atom_site_fract_y
_atom_site_fract_z
Y1 Y 0.000 0.000 0.000
Sb1 Sb 0.000 0.000 0.436
H1 H 0.000 0.000 0.715
```

offset from the most stable computed form	513	meV per atom
crystal system	tetragonal

For reference, uncorrected energy by record: -7.34; -7.59; -5.59; -4.68; -3.55; -4.89 eV per atom.
For reference, total magnetic moment by record: 28.75; 2.22; 0.00; 0.03; 10.99; 0.00 μB per cell.